First-principles (PBE-GGA) data for crystalline Dy6HoSc6 at its relaxed geometry, as listed in Alexandria via LeMat-Bulk.

Results
Formation energy from the elements, eV/atom: 0.228

abc: 6.4035 6.4035 10.8330
angles: 90.00 90.00 120.00
Atoms (fractional coordinates):
Dy  0.0000  0.0000  0.1618
Dy  0.0000  0.0000  0.8382
Dy  0.3333  0.6667  0.0000
Dy  0.3333  0.6667  0.5000
Dy  0.6667  0.3333  0.0000
Dy  0.6667  0.3333  0.5000
Ho  0.0000  0.0000  0.5000
Sc  0.0000  0.5000  0.2583
Sc  0.0000  0.5000  0.7417
Sc  0.5000  0.0000  0.2583
Sc  0.5000  0.0000  0.7417
Sc  0.5000  0.5000  0.2583
Sc  0.5000  0.5000  0.7417